DFT (PBE) results for a geometry-optimized TeMo2N structure.

## Properties
Mass density, g/cm³: 7.47
Energy above the lowest structure with this stoichiometry, kJ per mole of atoms: 0.0

a b c (Å): 4.9695 4.9695 12.0074
angles (deg): 90.00 90.00 90.00
Closest atoms and distances in Å follow each position.
Element x y z (fractional)
Te  0.0000  0.0000  0.0000  4 Mo 2.74
Te  0.0000  0.5000  0.2500  4 Mo 2.74
Te  0.5000  0.0000  0.7500  4 Mo 2.74
Te  0.5000  0.5000  0.5000  4 Mo 2.74
Mo  0.1111  0.2500  0.6250  2 N 2.03
Mo  0.2500  0.6111  0.8750  2 N 2.03
Mo  0.2500  0.8889  0.3750  2 N 2.03
Mo  0.3889  0.2500  0.1250  2 N 2.03
Mo  0.6111  0.7500  0.1250  2 N 2.03
Mo  0.7500  0.1111  0.3750  2 N 2.03
Mo  0.7500  0.3889  0.8750  2 N 2.03
Mo  0.8889  0.7500  0.6250  2 N 2.03
N  0.0000  0.0000  0.5000  4 Mo 2.03
N  0.0000  0.5000  0.7500  4 Mo 2.03
N  0.5000  0.0000  0.2500  4 Mo 2.03
N  0.5000  0.5000  0.0000  4 Mo 2.03